Entry 1:
VASP calculation (PBE) on a relaxed structure of GaMoBr.

POSCAR file:
```
GaMoBr
1.0
3.7214 0.0000 0.0000
0.0000 20.4997 0.0000
0.0000 0.0000 3.7335
Ga Mo Br
4 4 4
Direct
0.0000 0.0551 0.2500
0.0000 0.9449 0.7500
0.5000 0.4449 0.7500
0.5000 0.5551 0.2500
0.0000 0.4505 0.2500
0.0000 0.5495 0.7500
0.5000 0.0495 0.7500
0.5000 0.9505 0.2500
0.0000 0.3297 0.2500
0.0000 0.6703 0.7500
0.5000 0.1703 0.7500
0.5000 0.8297 0.2500
```

Results
E above lowest polymorph = 16 meV per atom
DOS(E_F) = 3.23 states/eV/cell
E_form (uncorrected) = -114 meV per atom

=====

Entry 2:
VASP calculation (PBE) on a relaxed structure of Cs2LiCa.

POSCAR file:
```
Cs2LiCa
1.0
10.2463 0.0000 0.0000
0.0000 10.2463 0.0000
0.0000 0.0000 10.2463
Cs Li Ca
8 4 4
Direct
0.2500 0.2500 0.2500
0.2500 0.2500 0.7500
0.2500 0.7500 0.2500
0.2500 0.7500 0.7500
0.7500 0.2500 0.2500
0.7500 0.2500 0.7500
0.7500 0.7500 0.2500
0.7500 0.7500 0.7500
0.0000 0.0000 0.0000
0.0000 0.5000 0.5000
0.5000 0.0000 0.5000
0.5000 0.5000 0.0000
0.0000 0.0000 0.5000
0.0000 0.5000 0.0000
0.5000 0.0000 0.0000
0.5000 0.5000 0.5000
```

Results
E above lowest polymorph = 0 meV per atom
Calculated formation energy = 0.312 eV/atom
DOS(E_F) = 15.90 states/eV/cell

=====

Entry 3:
VASP calculation (PBE) on a relaxed structure of LaYMnC2.

POSCAR file:
```
LaYMnC2
1.0
4.5032 0.0000 0.0000
0.0000 4.5032 0.0000
0.0000 0.0000 4.5890
La Y Mn C
1 1 1 2
Direct
0.0000 0.0000 0.0000
0.5000 0.5000 0.5000
0.0000 0.0000 0.5000
0.0000 0.5000 0.0000
0.5000 0.0000 0.0000
```

Results
Calculated formation energy = 1.924 eV/atom
DOS(E_F) = 6.70 states/eV/cell

=====

Entry 4:
VASP calculation (PBE) on a relaxed structure of Na4HgSe3.

POSCAR file:
```
Na4HgSe3
1.0
7.3209 -3.6854 0.0000
7.3209 3.6854 0.0000
-4.1984 0.0000 9.1457
Na Hg Se
8 2 6
Direct
0.0042 0.6662 0.0780
0.1569 0.8431 0.5000
0.2223 0.6245 0.7810
0.4308 0.7887 0.1838
0.6245 0.2223 0.2810
0.6662 0.0042 0.5780
0.7887 0.4308 0.6838
0.8431 0.1569 0.0000
0.0825 0.4039 0.3660
0.4039 0.0825 0.8660
0.0595 0.0816 0.2995
0.0816 0.0595 0.7995
0.4159 0.4236 0.0298
0.4236 0.4159 0.5298
0.7775 0.8066 0.8049
0.8066 0.7775 0.3049
```

Results
E_form (uncorrected) = -839 meV per atom

=====

Entry 5:
VASP calculation (PBE) on a relaxed structure of PmF2.

POSCAR file:
```
PmF2
1.0
4.1659 0.0000 0.0000
0.0000 4.1659 0.0000
0.0000 0.0000 5.4716
Pm F
2 4
Direct
0.0000 0.0000 0.0000
0.5000 0.5000 0.5000
0.0000 0.5000 0.2500
0.0000 0.5000 0.7500
0.5000 0.0000 0.2500
0.5000 0.0000 0.7500
```

Results
DOS(E_F) = 2.74 states/eV/cell
E_form (uncorrected) = -3340 meV per atom

=====

Entry 6:
VASP calculation (PBE) on a relaxed structure of DySc6In3.

POSCAR file:
```
DySc6In3
1.0
5.3022 -5.9826 0.0000
5.3022 5.9826 0.0000
0.0000 0.0000 8.1497
Dy Sc In
2 12 6
Direct
0.1865 0.8135 0.5000
0.8135 0.1865 0.0000
0.0854 0.4363 0.6937
0.0997 0.2390 0.3423
0.2390 0.0997 0.8423
0.2670 0.7330 0.9172
0.4363 0.0854 0.1937
0.4713 0.5287 0.3104
0.5287 0.4713 0.8104
0.5637 0.9146 0.6937
0.7330 0.2670 0.4172
0.7610 0.9003 0.3423
0.9003 0.7610 0.8423
0.9146 0.5637 0.1937
0.0766 0.9234 0.1445
0.2168 0.3955 0.0425
0.3955 0.2168 0.5425
0.6045 0.7832 0.0425
0.7832 0.6045 0.5425
0.9234 0.0766 0.6445
```

Results
Calculated formation energy = -0.158 eV/atom
DOS(E_F) = 31.96 states/eV/cell